SCAN AlTcRh2, PBEsol geometry; symmetry = No. 139; formation enthalpy at 0 K = -2.03 eV/f.u.; E_tot = -28.09 eV per atom; V = 13.64 A^3/atom
1.0
-1.917 1.917 3.711
1.917 -1.917 3.711
1.917 1.917 -3.711
Al Tc Rh
1 1 2
direct
0.000 0.000 0.000
0.500 0.500 0.000
0.250 0.750 0.500
0.750 0.250 0.500